The following is a DFT calculation (PBE) of crystalline LiLaDyGa at its relaxed geometry.

abc: 5.2379 5.2379 5.2379
angles: 60.00 60.00 60.00
Last column: nearest neighbours and their distance in Å.
Positions (direct):
La 0.0000 0.0000 0.0000  4 Li 3.21, 4 Ga 3.21
Li 0.2500 0.2500 0.2500  4 La 3.21, 4 Dy 3.21
Ga 0.7500 0.7500 0.7500  4 Dy 3.21, 4 La 3.21
Dy 0.5000 0.5000 0.5000  4 Ga 3.21, 4 Li 3.21

Summary:
Uncorrected energy in eV/cell: -15.646
Symmetry: F-43m, No. 216

=====

The following is a DFT calculation (PBE) of crystalline LaDyLuGa at its relaxed geometry.

abc: 5.3827 5.3827 5.3827
angles: 60.00 60.00 60.00
Last column: nearest neighbours and their distance in Å.
Positions (direct):
Lu 0.0000 0.0000 0.0000  4 Dy 3.30, 4 La 3.30
La 0.2500 0.2500 0.2500  4 Lu 3.30, 4 Ga 3.30
Ga 0.5000 0.5000 0.5000  4 Dy 3.30, 4 La 3.30
Dy 0.7500 0.7500 0.7500  4 Ga 3.30, 4 Lu 3.30

Summary:
Uncorrected energy in eV/cell: -17.577
Symmetry: F-43m, No. 216

=====

The following is a DFT calculation (PBE) of crystalline NaLaDyGa at its relaxed geometry.

abc: 5.3650 5.3650 5.3650
angles: 60.00 60.00 60.00
Last column: nearest neighbours and their distance in Å.
Positions (direct):
Na 0.7500 0.7500 0.7500  4 La 3.29, 4 Dy 3.29
La 0.5000 0.5000 0.5000  4 Ga 3.29, 4 Na 3.29
Ga 0.2500 0.2500 0.2500  4 La 3.29, 4 Dy 3.29
Dy 0.0000 0.0000 0.0000  4 Na 3.29, 4 Ga 3.29

Summary:
Uncorrected energy in eV/cell: -14.426
Symmetry: F-43m, No. 216

=====

The following is a DFT calculation (PBE) of crystalline LaNdDyGa at its relaxed geometry.

abc: 5.4782 5.4782 5.4782
angles: 60.00 60.00 60.00
Last column: nearest neighbours and their distance in Å.
Positions (direct):
La 0.5000 0.5000 0.5000  4 Dy 3.35, 4 Ga 3.35
Nd 0.0000 0.0000 0.0000  4 Dy 3.35, 4 Ga 3.35
Ga 0.7500 0.7500 0.7500  4 Nd 3.35, 4 La 3.35
Dy 0.2500 0.2500 0.2500  4 La 3.35, 4 Nd 3.35

Summary:
Uncorrected energy in eV/cell: -17.762
Symmetry: F-43m, No. 216

=====

The following is a DFT calculation (PBE) of crystalline LaDyGaPd at its relaxed geometry.

abc: 4.2843 4.4909 5.6507
angles: 90.00 112.28 90.00
Last column: nearest neighbours and their distance in Å.
Positions (direct):
La 0.1461 0.0000 0.2922  3 Pd 2.90-3.16, 4 Ga 3.21
Dy 0.8627 0.5000 0.7253  3 Ga 3.03-3.09, 4 Pd 3.17
Ga 0.5677 0.5000 0.1353  2 Pd 2.70
Pd 0.4236 0.0000 0.8472  2 Ga 2.70, 1 La 2.90

Summary:
Uncorrected energy in eV/cell: -20.519
Symmetry: Amm2, No. 38

=====

The following is a DFT calculation (PBE) of crystalline LaDyGa2Pd2 at its relaxed geometry.

abc: 4.5563 4.5563 7.1136
angles: 90.00 90.00 120.00
Last column: nearest neighbours and their distance in Å.
Positions (direct):
La 0.0000 0.0000 0.0000  6 Ga 3.30, 6 Pd 3.30, 2 Dy 3.56
Dy 0.0000 0.0000 0.5000  6 Pd 3.06, 6 Ga 3.06
Ga 0.6667 0.3333 0.7207  3 Pd 2.63
Ga 0.3333 0.6667 0.2793  3 Pd 2.63
Pd 0.6667 0.3333 0.2801  3 Ga 2.63
Pd 0.3333 0.6667 0.7199  3 Ga 2.63

Summary:
Uncorrected energy in eV/cell: -31.066
Symmetry: P-3m1, No. 164

=====

Here are the calculated magnetic moment numbers, same order: 0.00, 0.16, 0.00, 0.01, 0.00, 0.00 (μB/atom).